Computed, not measured: a relaxed KP3Os crystal at the PBE-GGA level of DFT.

Calculated values
- M_tot (Bohr magnetons per cell) = 0.000
- calculated formation energy (eV per formula unit) = 2.17
- symmetry = Pm-3m
- total energy (eV for the cell shown) = -26.4
- polymorph energy (0 for the lowest one) (eV per atom) = 0.000
- V (Å³ per atom) = 21.30

The structure in POSCAR format:
```
KP3Os
1.0
4.740 0.000 0.000
0.000 4.740 0.000
0.000 0.000 4.740
K P Os
1 3 1
direct
0.000 0.000 0.000
0.000 0.500 0.500
0.500 0.000 0.500
0.500 0.500 0.000
0.500 0.500 0.500
```